(1)
The following is a GGA-PBE calculation of an optimized crystal structure of Ac5Pm3Se8, from Alexandria via LeMat-Bulk.

The space group is R-3m (No. 166, hexagonal axes) and the conventional cell measures 8.7284, 8.7284 and 21.4257 Å, with angles of 90.00, 90.00 and 120.00 degrees. Symmetry generates all atoms from Ac at (0.0000, 0.0000, 0.0000), Ac at (0.0000, 0.0000, 0.5000), Ac at (0.0000, 0.5000, 0.0000), Pm at (0.0000, 0.5000, 0.5000), Se at (0.0000, 0.0000, 0.2441) and Se at (0.0083, 0.5041, 0.7541).

The energy relative to the elements, uncorrected is -1840 meV/atom.

(2)
The following is a GGA-PBE calculation of an optimized crystal structure of PmErGePd, from Alexandria via LeMat-Bulk.

The space group is F-43m (No. 216) and the conventional cell measures 7.156, 7.156 and 7.156 Å, with angles of 90.00, 90.00 and 90.00 degrees. Symmetry generates all atoms from Pm at (0.000, 0.000, 0.000), Er at (0.000, 0.000, 0.500), Ge at (0.250, 0.250, 0.250) and Pd at (0.250, 0.250, 0.750).

The value obtained for the energy of formation from the pure elements is -0.77 eV per atom. Its offset from the most stable computed form is 85 meV per atom.

Number 1: calculated total energy -276.327 eV for the cell shown. Number 2: calculated total energy -88.869 eV for the cell shown.